Entry 1:
MgGa2Hg: optimized geometry, GGA-PBE.

Summary:
* calculated formation energy: -0.06 eV/atom
* relative energy among the computed polymorphs: 0.007 eV per atom
* D(E_F): 1.386 states/eV/f.u.

abc: 4.2871 4.2871 4.4447
angles: 90.00 90.00 90.00
Last column: nearest neighbours and their distance in Å.
Fractional coordinates of all 4 atoms:
Mg 0.0000 0.0000 0.0000  4 Hg 3.03, 8 Ga 3.09
Ga 0.0000 0.5000 0.5000  4 Ga 3.03, 4 Hg 3.09, 4 Mg 3.09
Ga 0.5000 0.0000 0.5000  4 Ga 3.03, 4 Hg 3.09, 4 Mg 3.09
Hg 0.5000 0.5000 0.0000  4 Mg 3.03, 8 Ga 3.09

---

Entry 2:
Mg8GaHg2: optimized geometry, GGA-PBE.

Summary:
* calculated formation energy: -0.11 eV/atom
* relative energy among the computed polymorphs: 0.014 eV per atom
* D(E_F): 4.529 states/eV/f.u.

abc: 8.4178 8.4178 6.3841
angles: 98.57 98.57 32.15
Last column: nearest neighbours and their distance in Å.
Fractional coordinates of all 11 atoms:
Mg 0.0346 0.0346 0.2544  2 Ga 2.91, 2 Hg 3.11-3.13, 3 Mg 3.18-3.20
Mg 0.2186 0.2186 0.1355  3 Hg 2.90-3.20, 7 Mg 3.11-3.18
Mg 0.3293 0.3293 0.5840  1 Ga 2.89, 3 Hg 2.94-3.01, 4 Mg 3.11-3.15
Mg 0.4092 0.4092 0.0671  1 Ga 2.92, 2 Hg 3.07, 7 Mg 3.15-3.25
Mg 0.5908 0.5908 0.9329  1 Ga 2.92, 2 Hg 3.07, 7 Mg 3.15-3.25
Mg 0.6707 0.6707 0.4160  1 Ga 2.89, 3 Hg 2.94-3.01, 4 Mg 3.11-3.15
Mg 0.7814 0.7814 0.8645  3 Hg 2.90-3.20, 7 Mg 3.11-3.18
Mg 0.9654 0.9654 0.7456  2 Ga 2.91, 2 Hg 3.11-3.13, 3 Mg 3.18-3.20
Ga 0.5000 0.5000 0.5000  8 Mg 2.89-2.92
Hg 0.1538 0.1538 0.6863  10 Mg 2.90-3.20
Hg 0.8462 0.8462 0.3137  10 Mg 2.90-3.20

---

Entry 3:
Mg2Ga2Hg: optimized geometry, GGA-PBE.

Summary:
* calculated formation energy: -0.06 eV/atom
* relative energy among the computed polymorphs: 0.063 eV per atom
* D(E_F): 1.920 states/eV/f.u.

abc: 7.9777 7.9777 3.3923
angles: 90.00 90.00 90.00
Last column: nearest neighbours and their distance in Å.
Fractional coordinates of all 10 atoms:
Mg 0.1781 0.3219 0.0000  6 Ga 2.85-2.95, 2 Hg 2.93
Mg 0.3219 0.8219 0.0000  6 Ga 2.85-2.95, 2 Hg 2.93
Mg 0.6781 0.1781 0.0000  6 Ga 2.85-2.95, 2 Hg 2.93
Mg 0.8219 0.6781 0.0000  6 Ga 2.85-2.95, 2 Hg 2.93
Ga 0.1185 0.6185 0.5000  1 Ga 2.67, 6 Mg 2.85-2.95
Ga 0.3815 0.1185 0.5000  1 Ga 2.67, 6 Mg 2.85-2.95
Ga 0.6185 0.8815 0.5000  1 Ga 2.67, 6 Mg 2.85-2.95
Ga 0.8815 0.3815 0.5000  1 Ga 2.67, 6 Mg 2.85-2.95
Hg 0.0000 0.0000 0.0000  4 Mg 2.93
Hg 0.5000 0.5000 0.0000  4 Mg 2.93

---

Entry 4:
Mg3Ga2Hg3: optimized geometry, GGA-PBE.

Summary:
* calculated formation energy: -0.12 eV/atom
* D(E_F): 3.117 states/eV/f.u.

abc: 9.8586 9.8586 9.8586
angles: 157.66 152.33 35.85
Last column: nearest neighbours and their distance in Å.
Fractional coordinates of all 8 atoms:
Mg 0.0000 0.0000 0.0000  8 Hg 3.02-3.03
Mg 0.3702 0.8702 0.5000  4 Ga 3.01-3.21, 6 Hg 3.04-3.10
Mg 0.6298 0.1298 0.5000  4 Ga 3.01-3.21, 6 Hg 3.04-3.10
Ga 0.2460 0.2460 0.0000  2 Hg 2.97, 4 Mg 3.01-3.21, 4 Ga 3.04
Ga 0.7540 0.7540 0.0000  2 Hg 2.97, 4 Mg 3.01-3.21, 4 Ga 3.04
Hg 0.1248 0.6248 0.5000  2 Ga 2.97, 6 Mg 3.02-3.04, 2 Hg 3.32
Hg 0.5000 0.5000 0.0000  8 Mg 3.03-3.10, 4 Hg 3.32
Hg 0.8752 0.3752 0.5000  2 Ga 2.97, 6 Mg 3.02-3.04, 2 Hg 3.32

---

Entry 5:
MgGaHg2: optimized geometry, GGA-PBE.

Summary:
* calculated formation energy: -0.05 eV/atom
* relative energy among the computed polymorphs: 0.020 eV per atom
* D(E_F): 2.061 states/eV/f.u.

abc: 4.9941 4.9941 4.9941
angles: 60.00 60.00 60.00
Last column: nearest neighbours and their distance in Å.
Fractional coordinates of all 4 atoms:
Mg 0.0000 0.0000 0.0000  8 Hg 3.06
Ga 0.5000 0.5000 0.5000  8 Hg 3.06
Hg 0.2500 0.2500 0.2500  4 Mg 3.06, 4 Ga 3.06
Hg 0.7500 0.7500 0.7500  4 Ga 3.06, 4 Mg 3.06

---

Entry 6:
MgGa2Hg2: optimized geometry, GGA-PBE.

Summary:
* calculated formation energy: 0.11 eV/atom
* relative energy among the computed polymorphs: 0.144 eV per atom
* D(E_F): 2.610 states/eV/f.u.

abc: 6.7675 6.7675 6.7675
angles: 142.14 142.14 54.62
Last column: nearest neighbours and their distance in Å.
Fractional coordinates of all 5 atoms:
Mg 0.0000 0.0000 0.0000  8 Ga 3.34, 8 Hg 3.72
Ga 0.3979 0.3979 0.0000  1 Ga 2.46
Ga 0.6021 0.6021 0.0000  1 Ga 2.46
Hg 0.2500 0.7500 0.5000  4 Ga 2.83, 4 Hg 3.10
Hg 0.7500 0.2500 0.5000  4 Ga 2.83, 4 Hg 3.10

---

Entry 7:
Mg2Ga2Hg: optimized geometry, GGA-PBE.

Summary:
* calculated formation energy: -0.09 eV/atom
* relative energy among the computed polymorphs: 0.029 eV per atom
* D(E_F): 1.440 states/eV/f.u.

abc: 7.9712 7.9712 3.2627
angles: 90.00 90.00 90.00
Last column: nearest neighbours and their distance in Å.
Fractional coordinates of all 10 atoms:
Mg 0.1845 0.3155 0.0000  6 Ga 2.78-2.95
Mg 0.3155 0.8155 0.0000  6 Ga 2.78-2.95
Mg 0.6845 0.1845 0.0000  6 Ga 2.78-2.95
Mg 0.8155 0.6845 0.0000  6 Ga 2.78-2.95
Ga 0.1156 0.6156 0.5000  1 Ga 2.61, 2 Mg 2.78
Ga 0.3844 0.1156 0.5000  1 Ga 2.61, 2 Mg 2.78
Ga 0.6156 0.8844 0.5000  1 Ga 2.61, 2 Mg 2.78
Ga 0.8844 0.3844 0.5000  1 Ga 2.61, 2 Mg 2.78
Hg 0.0000 0.0000 0.5000  4 Ga 3.20, 2 Hg 3.26, 8 Mg 3.34
Hg 0.5000 0.5000 0.5000  4 Ga 3.20, 2 Hg 3.26, 8 Mg 3.34

---

Entry 8:
Mg3Ga2Hg2: optimized geometry, GGA-PBE.

Summary:
* calculated formation energy: -0.14 eV/atom
* relative energy among the computed polymorphs: 0.000 eV per atom
* D(E_F): 2.051 states/eV/f.u.

abc: 10.8773 10.8773 3.2917
angles: 90.00 90.00 158.22
Last column: nearest neighbours and their distance in Å.
Fractional coordinates of all 7 atoms:
Mg 0.0000 0.0000 0.0000  8 Hg 3.10, 4 Mg 3.28-3.29
Mg 0.1534 0.8466 0.0000  6 Ga 2.94-3.27, 4 Hg 3.11, 1 Mg 3.28
Mg 0.8466 0.1534 0.0000  6 Ga 2.94-3.27, 4 Hg 3.11, 1 Mg 3.28
Ga 0.2856 0.7144 0.5000  2 Ga 2.56
Ga 0.7144 0.2856 0.5000  2 Ga 2.56
Hg 0.4237 0.5763 0.5000  1 Ga 2.95, 8 Mg 3.10-3.11, 3 Hg 3.26-3.29
Hg 0.5763 0.4237 0.5000  1 Ga 2.95, 8 Mg 3.10-3.11, 3 Hg 3.26-3.29